Density functional theory data (GGA-PBE) for a relaxed structure of CaPr2Te4.

Summary:
calculated density = 5.40 g/cm3
ΔE_f (raw) = -1447 meV/atom
spin magnetization = 0.00 μB/cell
energy relative to the lowest polymorph listed for this composition = 52 meV per atom
calculated volume = 256.0 Å³/f.u.

```
CaPr2Te4
1.0
-2.119 -3.138 -2.365
5.998 2.338 -4.264
8.890 -10.916 6.520
Ca Pr Te
2 4 8
Direct
0.616 0.232 0.750
0.384 0.768 0.250
0.135 0.270 0.428
0.865 0.730 0.928
0.135 0.270 0.072
0.865 0.730 0.572
0.778 0.555 0.122
0.778 0.555 0.378
0.222 0.445 0.878
0.222 0.445 0.622
0.966 0.933 0.750
0.034 0.067 0.250
0.500 0.000 0.000
0.500 0.000 0.500
```